# 1
Compound: NaSrOs3
Source: the Alexandria database
Functional: PBE
Structure: optimized geometry

Calculated values
E_form   2.59 eV per atom
Electronic total energy   -0.1746 Ha/atom

Lattice parameters (Å, degrees): 4.7156 4.7156 4.7156 90.00 90.00 90.00
With the nearest neighbours (Å) after each atom.
Space group Pm-3m (No. 221)
Inequivalent atoms, fractional coordinates:
Na1 0.0000 0.0000 0.0000  6 Os 2.36
Sr1 0.5000 0.5000 0.5000  12 Os 3.33
Os1 0.0000 0.0000 0.5000  2 Na 2.36

---

# 2
Compound: NaSr3Os
Source: the Alexandria database
Functional: PBE
Structure: optimized geometry

Calculated values
E_form   0.37 eV per atom
Electronic total energy   -0.1157 Ha/atom

Lattice parameters (Å, degrees): 5.9303 5.9303 5.9303 90.00 90.00 90.00
With the nearest neighbours (Å) after each atom.
Space group Pm-3m (No. 221)
Inequivalent atoms, fractional coordinates:
Na1 0.0000 0.0000 0.0000  12 Sr 4.19
Sr1 0.0000 0.5000 0.5000  2 Os 2.97
Os1 0.5000 0.5000 0.5000  6 Sr 2.97

---

# 3
Compound: Na3SrOs
Source: the Alexandria database
Functional: PBE
Structure: optimized geometry

Calculated values
E_form   1.97 eV per atom
Electronic total energy   -0.0515 Ha/atom

Lattice parameters (Å, degrees): 6.0057 6.0057 6.0057 90.00 90.00 90.00
With the nearest neighbours (Å) after each atom.
Space group Pm-3m (No. 221)
Inequivalent atoms, fractional coordinates:
Na1 0.0000 0.0000 0.5000  2 Sr 3.00
Sr1 0.0000 0.0000 0.0000  6 Na 3.00
Os1 0.5000 0.5000 0.5000  12 Na 4.25

---

# 4
Compound: NaSr3Os
Source: the Alexandria database
Functional: PBE
Structure: optimized geometry

Calculated values
E_form   1.46 eV per atom
Electronic total energy   -0.0756 Ha/atom

Lattice parameters (Å, degrees): 5.9499 5.9499 5.9499 90.00 90.00 90.00
With the nearest neighbours (Å) after each atom.
Space group Pm-3m (No. 221)
Inequivalent atoms, fractional coordinates:
Na1 0.0000 0.0000 0.0000  6 Sr 2.97
Sr1 0.0000 0.0000 0.5000  2 Na 2.97
Os1 0.5000 0.5000 0.5000  12 Sr 4.21

---

# 5
Compound: Na2SrOs
Source: the Alexandria database
Functional: PBE
Structure: optimized geometry

Calculated values
E_form   0.95 eV per atom
Electronic total energy   -0.1079 Ha/atom

Lattice parameters (Å, degrees): 7.3398 7.3398 7.3398 90.00 90.00 90.00
With the nearest neighbours (Å) after each atom.
Space group Fm-3m (No. 225)
Inequivalent atoms, fractional coordinates:
Na1 0.2500 0.2500 0.2500  4 Os 3.18, 4 Sr 3.18
Sr1 0.0000 0.0000 0.0000  8 Na 3.18
Os1 0.0000 0.0000 0.5000  8 Na 3.18

---

# 6
Compound: Na3SrOs
Source: the Alexandria database
Functional: PBE
Structure: optimized geometry

Calculated values
E_form   1.04 eV per atom
Electronic total energy   -0.0858 Ha/atom

Lattice parameters (Å, degrees): 5.5379 5.5379 5.5379 90.00 90.00 90.00
With the nearest neighbours (Å) after each atom.
Space group Pm-3m (No. 221)
Inequivalent atoms, fractional coordinates:
Na1 0.0000 0.0000 0.5000  2 Os 2.77
Sr1 0.5000 0.5000 0.5000  12 Na 3.92
Os1 0.0000 0.0000 0.0000  6 Na 2.77

---

# 7
Compound: NaSrOs2
Source: the Alexandria database
Functional: PBE
Structure: optimized geometry

Calculated values
E_form   1.70 eV per atom
Electronic total energy   -0.1716 Ha/atom

Lattice parameters (Å, degrees): 6.9197 6.9197 6.9197 90.00 90.00 90.00
With the nearest neighbours (Å) after each atom.
Space group Fm-3m (No. 225)
Inequivalent atoms, fractional coordinates:
Na1 0.0000 0.0000 0.0000  8 Os 3.00
Sr1 0.0000 0.0000 0.5000  8 Os 3.00
Os1 0.2500 0.2500 0.2500  4 Na 3.00, 4 Sr 3.00

---

# 8
Compound: NaSr2Os
Source: the Alexandria database
Functional: PBE
Structure: optimized geometry

Calculated values
E_form   0.86 eV per atom
Electronic total energy   -0.1147 Ha/atom

Lattice parameters (Å, degrees): 8.8101 8.8101 6.9536 90.00 90.00 90.00
With the nearest neighbours (Å) after each atom.
Space group I-42d (No. 122)
Inequivalent atoms, fractional coordinates:
Na1 0.0000 0.0000 0.0000  2 Os 3.48, 8 Sr 3.65-3.78
Sr1 0.1843 0.2500 0.6250  2 Os 2.87
Os1 0.0000 0.0000 0.5000  4 Sr 2.87

---

# 9
Compound: NaSrOs2
Source: the Alexandria database
Functional: PBE
Structure: optimized geometry

Calculated values
E_form   1.35 eV per atom
Electronic total energy   -0.1842 Ha/atom

Lattice parameters (Å, degrees): 8.3559 8.3559 4.9964 90.00 90.00 90.00
With the nearest neighbours (Å) after each atom.
Space group I-42d (No. 122)
Inequivalent atoms, fractional coordinates:
Na1 0.0000 0.0000 0.0000  2 Sr 2.50
Sr1 0.0000 0.0000 0.5000  2 Na 2.50
Os1 0.2255 0.7500 0.1250  2 Os 2.53

---

# 10
Compound: NaSr2Os
Source: the Alexandria database
Functional: PBE
Structure: optimized geometry

Calculated values
E_form   0.58 eV per atom
Electronic total energy   -0.1247 Ha/atom

Lattice parameters (Å, degrees): 7.6148 7.6148 7.6148 90.00 90.00 90.00
With the nearest neighbours (Å) after each atom.
Space group Fm-3m (No. 225)
Inequivalent atoms, fractional coordinates:
Na1 0.0000 0.0000 0.0000  8 Sr 3.30
Sr1 0.2500 0.2500 0.2500  4 Na 3.30, 4 Os 3.30
Os1 0.0000 0.0000 0.5000  8 Sr 3.30

---

# 11
Compound: Na2TaOs
Source: the Alexandria database
Functional: PBE
Structure: optimized geometry

Calculated values
E_form   1.48 eV per atom
Electronic total energy   -0.1820 Ha/atom

Lattice parameters (Å, degrees): 8.6179 8.6179 4.8741 90.00 90.00 90.00
With the nearest neighbours (Å) after each atom.
Space group I-42d (No. 122)
Inequivalent atoms, fractional coordinates:
Na1 0.2094 0.2500 0.1250  2 Na 2.54
Ta1 0.0000 0.0000 0.5000  2 Os 2.44
Os1 0.0000 0.0000 0.0000  2 Ta 2.44

---

# 12
Compound: NaTa2Os2
Source: the Alexandria database
Functional: PBE
Structure: optimized geometry

Calculated values
E_form   0.09 eV per atom
Electronic total energy   -0.3459 Ha/atom

Lattice parameters (Å, degrees): 7.7873 7.7873 2.9802 90.00 90.00 90.00
With the nearest neighbours (Å) after each atom.
Space group P4/mbm (No. 127)
Inequivalent atoms, fractional coordinates:
Na1 0.0000 0.0000 0.0000  2 Na 2.98, 4 Os 2.99, 8 Ta 3.33
Ta1 0.1475 0.3525 0.5000  6 Os 2.71-2.75, 2 Ta 2.98
Os1 0.1430 0.6430 0.0000  6 Ta 2.71-2.75, 2 Os 2.98, 2 Na 2.99